A plane-wave DFT calculation with PBE-GGA was carried out for a relaxed structure of Ti4InNi2.

## Properties
Formation enthalpy at 0 K = 0.057 eV/atom
Total magnetization = 0.00 μB per formula unit

Unit cell a=3.890 b=3.890 c=9.830 alpha=78.59 beta=78.59 gamma=60.00
Positions (direct):
Ni1 0.602 0.602 0.195
Ni2 0.398 0.398 0.805
Ti1 0.698 0.698 0.907
Ti2 0.302 0.302 0.093
Ti3 0.100 0.100 0.700
Ti4 0.900 0.900 0.300
In1 0.500 0.500 0.500

---

A plane-wave DFT calculation with PBE-GGA was carried out for a relaxed structure of TiIn2Ni2.

## Properties
Formation enthalpy at 0 K = -0.076 eV/atom
Total magnetization = 0.68 μB per formula unit
Distance to the lowest polymorph of the same formula = 0.000 eV/atom

Unit cell a=7.219 b=7.219 c=3.123 alpha=90.00 beta=90.00 gamma=90.00
Positions (direct):
In1 0.168 0.668 0.500
In2 0.332 0.168 0.500
In3 0.832 0.332 0.500
In4 0.668 0.832 0.500
Ni1 0.870 0.630 0.000
Ni2 0.370 0.870 0.000
Ni3 0.630 0.130 0.000
Ni4 0.130 0.370 0.000
Ti1 0.000 0.000 0.000
Ti2 0.500 0.500 0.000

---

Number 1: calculated volume 17.9 Å³ per atom. Number 2: calculated volume 16.3 Å³ per atom.